Material: Sr4NiSb3O12
Method: DFT, PBE+U
State: relaxed

## Properties
- space-group type = Im-3m, No. 229
- total energy (eV/atom) = -6.077

```
data_Sr4NiSb3O12
_cell_length_a 7.083
_cell_length_b 7.083
_cell_length_c 7.083
_cell_angle_alpha 109.47
_cell_angle_beta 109.47
_cell_angle_gamma 109.47
_space_group_name_H-M_alt 'P 1'
_space_group_IT_number 1
loop_
_space_group_symop_operation_xyz
'x,y,z'
loop_
_atom_site_label
_atom_site_fract_x
_atom_site_fract_y
_atom_site_fract_z
_atom_site_occupancy
Sr1 0.000 0.000 0.500 1
Sr2 0.000 0.500 0.000 1
Sr3 0.500 0.000 0.000 1
Sr4 0.500 0.500 0.500 1
Ni1 0.000 0.000 0.000 1
Sb1 0.000 0.500 0.500 1
Sb2 0.500 0.000 0.500 1
Sb3 0.500 0.500 0.000 1
O1 0.000 0.257 0.257 1
O2 0.000 0.743 0.743 1
O3 0.250 0.500 0.750 1
O4 0.250 0.750 0.500 1
O5 0.257 0.000 0.257 1
O6 0.257 0.257 0.000 1
O7 0.500 0.250 0.750 1
O8 0.500 0.750 0.250 1
O9 0.743 0.000 0.743 1
O10 0.743 0.743 0.000 1
O11 0.750 0.250 0.500 1
O12 0.750 0.500 0.250 1
```